# 1
A geometry-optimized PrNdHo2Tm5 structure, computed with GGA-PBE. Values from VASP.

Computed properties:
ΔE_f = 0.279 eV/atom
space group = I4/mcm
volume = 577.1 Å³/cell
D(E_F) = 1.23 states/eV per atom

Geometry as Quantum ESPRESSO input:
```
&SYSTEM
  ibrav = 0, nat = 18, ntyp = 4
/
ATOMIC_SPECIES
Pr 140.91 Pr.upf
Nd 144.24 Nd.upf
Ho 164.93 Ho.upf
Tm 168.93 Tm.upf
CELL_PARAMETERS angstrom
-4.419 4.419 7.390
4.419 -4.419 7.390
4.419 4.419 -7.390
ATOMIC_POSITIONS angstrom
Pr 0.000 0.000 3.695
Pr 0.000 0.000 11.085
Nd 4.419 0.000 3.695
Nd 0.000 4.419 3.695
Ho 5.427 1.008 0.000
Ho 1.008 3.410 0.000
Ho 3.410 1.008 7.390
Ho -1.008 3.410 7.390
Tm 0.000 0.000 0.000
Tm 2.617 1.801 -1.941
Tm 2.617 -1.801 5.449
Tm 2.617 1.801 1.941
Tm 2.617 -1.801 9.331
Tm 0.000 0.000 7.390
Tm 1.801 6.220 -1.941
Tm 1.801 2.617 5.449
Tm 1.801 6.220 1.941
Tm 1.801 2.617 9.331
```

# 2
A geometry-optimized MgAgRhPb structure, computed with GGA-PBE. Values from VASP.

Computed properties:
ΔE_f = -0.095 eV/atom
space group = F-43m
volume = 301.2 Å³/cell
D(E_F) = 0.77 states/eV per atom

Geometry as Quantum ESPRESSO input:
```
&SYSTEM
  ibrav = 0, nat = 16, ntyp = 4
/
ATOMIC_SPECIES
Mg 24.30 Mg.upf
Ag 107.87 Ag.upf
Rh 102.91 Rh.upf
Pb 207.20 Pb.upf
CELL_PARAMETERS angstrom
6.703 0.000 0.000
0.000 6.703 0.000
0.000 0.000 6.703
ATOMIC_POSITIONS angstrom
Mg 0.000 0.000 0.000
Mg 0.000 3.351 3.351
Mg 3.351 0.000 3.351
Mg 3.351 3.351 0.000
Ag 1.676 1.676 5.027
Ag 1.676 5.027 1.676
Ag 5.027 1.676 1.676
Ag 5.027 5.027 5.027
Rh 1.676 1.676 1.676
Rh 1.676 5.027 5.027
Rh 5.027 1.676 5.027
Rh 5.027 5.027 1.676
Pb 0.000 0.000 3.351
Pb 0.000 3.351 0.000
Pb 3.351 0.000 0.000
Pb 3.351 3.351 3.351
```

# 3
A geometry-optimized PaV2Sn structure, computed with GGA-PBE. Values from VASP.

Computed properties:
ΔE_f = 0.147 eV/atom
space group = P4/mmm
volume = 74.1 Å³/cell
ΔE to the lowest computed polymorph = 161 meV per atom
D(E_F) = 1.74 states/eV per atom

Geometry as Quantum ESPRESSO input:
```
&SYSTEM
  ibrav = 0, nat = 4, ntyp = 3
/
ATOMIC_SPECIES
Pa 231.04 Pa.upf
V 50.94 V.upf
Sn 118.71 Sn.upf
CELL_PARAMETERS angstrom
3.417 0.000 0.000
0.000 3.417 0.000
0.000 0.000 6.345
ATOMIC_POSITIONS angstrom
Pa 0.000 0.000 0.000
V 1.709 1.709 1.423
V 1.709 1.709 4.923
Sn 0.000 0.000 3.173
```

# 4
A geometry-optimized CrGaNiI2 structure, computed with GGA-PBE. Values from VASP.

Computed properties:
space group = P4/mmm
volume = 151.0 Å³/cell
ΔE_f (raw) = 373.4 kJ/mol of formula units
D(E_F) = 1.32 states/eV per atom

Geometry as Quantum ESPRESSO input:
```
&SYSTEM
  ibrav = 0, nat = 5, ntyp = 4
/
ATOMIC_SPECIES
Cr 52.00 Cr.upf
Ga 69.72 Ga.upf
Ni 58.69 Ni.upf
I 126.90 I.upf
CELL_PARAMETERS angstrom
5.797 0.000 0.000
0.000 5.797 0.000
0.000 0.000 4.493
ATOMIC_POSITIONS angstrom
Cr 0.000 0.000 0.000
Ga 2.898 2.898 2.247
Ni 2.898 2.898 0.000
I 0.000 2.898 2.247
I 2.898 0.000 2.247
```

The highest D(E_F) belongs to which entry? PaV2Sn

What is the D(E_F) in the second record? 0.77 states/eV per atom

What did the fourth record say?
A geometry-optimized CrGaNiI2 structure, computed with GGA-PBE. Values from VASP.

Computed properties:
space group = P4/mmm
volume = 151.0 Å³/cell
ΔE_f (raw) = 373.4 kJ/mol of formula units
D(E_F) = 1.32 states/eV per atom

Geometry as Quantum ESPRESSO input:
```
&SYSTEM
  ibrav = 0, nat = 5, ntyp = 4
/
ATOMIC_SPECIES
Cr 52.00 Cr.upf
Ga 69.72 Ga.upf
Ni 58.69 Ni.upf
I 126.90 I.upf
CELL_PARAMETERS angstrom
5.797 0.000 0.000
0.000 5.797 0.000
0.000 0.000 4.493
ATOMIC_POSITIONS angstrom
Cr 0.000 0.000 0.000
Ga 2.898 2.898 2.247
Ni 2.898 2.898 0.000
I 0.000 2.898 2.247
I 2.898 0.000 2.247
```